No. 1
First-principles (PBE-GGA) data for an optimized crystal structure of Fe4HRh, as listed in Alexandria.

```
data_Fe4HRh
_chemical_formula_sum 'Fe16 H4 Rh4'
_cell_length_a 12.6260
_cell_length_b 5.1088
_cell_length_c 4.3497
_cell_angle_alpha 90.00
_cell_angle_beta 109.61
_cell_angle_gamma 90.00
_space_group_name_H-M_alt 'C 1 2/m 1'
_space_group_IT_number 12
loop_
_space_group_symop_operation_xyz
'x,y,z'
'-x,-y,-z'
'-x,y,-z'
'x,-y,z'
'x+1/2,y+1/2,z'
'-x+1/2,-y+1/2,-z'
'-x+1/2,y+1/2,-z'
'x+1/2,-y+1/2,z'
loop_
_atom_site_label
_atom_site_fract_x
_atom_site_fract_y
_atom_site_fract_z
Fe1 0.0000 0.2460 0.0000
Fe2 0.1093 0.2424 0.6114
Fe3 0.1943 0.5000 0.1932
H1 0.0670 0.5000 0.2962
Rh1 0.1921 0.0000 0.1893
```

Output
raw total energy: -7.294 eV per atom
density of states at the Fermi level: 21.89 states/eV/cell

=====

No. 2
First-principles (PBE-GGA) data for an optimized crystal structure of TeIr2Se, as listed in Alexandria.

```
data_TeIr2Se
_chemical_formula_sum 'Te4 Ir8 Se4'
_cell_length_a 6.6080
_cell_length_b 6.6080
_cell_length_c 6.6080
_cell_angle_alpha 90.00
_cell_angle_beta 90.00
_cell_angle_gamma 90.00
_space_group_name_H-M_alt 'F -4 3 m'
_space_group_IT_number 216
_space_group_name_Hall 'F -4 2 3'
loop_
_atom_site_label
_atom_site_fract_x
_atom_site_fract_y
_atom_site_fract_z
Te1 0.0000 0.0000 0.0000
Ir1 0.0000 0.0000 0.5000
Ir2 0.2500 0.2500 0.7500
Se1 0.2500 0.2500 0.2500
```

Output
uncorrected formation energy: 842.6 meV per atom
distance to the lowest polymorph of the same formula: 0.822 eV/atom
density of states at the Fermi level: 16.84 states/eV/cell

=====

No. 3
First-principles (PBE-GGA) data for an optimized crystal structure of AcDy2Ga, as listed in Alexandria.

```
data_AcDy2Ga
_chemical_formula_sum 'Ac4 Dy8 Ga4'
_cell_length_a 7.7437
_cell_length_b 7.7437
_cell_length_c 7.7437
_cell_angle_alpha 90.00
_cell_angle_beta 90.00
_cell_angle_gamma 90.00
_space_group_name_H-M_alt 'F m -3 m'
_space_group_IT_number 225
_space_group_name_Hall '-F 4 2 3'
loop_
_atom_site_label
_atom_site_fract_x
_atom_site_fract_y
_atom_site_fract_z
Ac1 0.0000 0.0000 0.0000
Dy1 0.2500 0.2500 0.2500
Ga1 0.0000 0.0000 0.5000
```

Output
distance to the lowest polymorph of the same formula: 0.303 eV/atom
formation energy from the elements: 0.057 eV/atom
density of states at the Fermi level: 31.26 states/eV/cell

=====

No. 4
First-principles (PBE-GGA) data for an optimized crystal structure of TlZn2Fe, as listed in Alexandria.

```
data_TlZn2Fe
_chemical_formula_sum 'Tl4 Zn8 Fe4'
_cell_length_a 3.9003
_cell_length_b 3.9003
_cell_length_c 18.5071
_cell_angle_alpha 90.00
_cell_angle_beta 90.00
_cell_angle_gamma 90.00
_space_group_name_H-M_alt 'I -4 2 d'
_space_group_IT_number 122
_space_group_name_Hall 'I -4 2bw'
loop_
_atom_site_label
_atom_site_fract_x
_atom_site_fract_y
_atom_site_fract_z
Tl1 0.0000 0.0000 0.0000
Zn1 0.1896 0.2500 0.6250
Fe1 0.0000 0.0000 0.5000
```

Output
distance to the lowest polymorph of the same formula: 0.347 eV/atom
formation energy from the elements: 0.593 eV/atom
density of states at the Fermi level: 19.97 states/eV/cell

=====

No. 5
First-principles (PBE-GGA) data for an optimized crystal structure of Sc2MnP, as listed in Alexandria.

```
data_Sc2MnP
_chemical_formula_sum 'Sc4 Mn2 P2'
_cell_length_a 3.5122
_cell_length_b 4.0460
_cell_length_c 9.6742
_cell_angle_alpha 90.00
_cell_angle_beta 90.00
_cell_angle_gamma 90.00
_space_group_name_H-M_alt 'I m m 2'
_space_group_IT_number 44
loop_
_space_group_symop_operation_xyz
'x,y,z'
'-x,-y,z'
'-x,y,z'
'x,-y,z'
'x+1/2,y+1/2,z+1/2'
'-x+1/2,-y+1/2,z+1/2'
'-x+1/2,y+1/2,z+1/2'
'x+1/2,-y+1/2,z+1/2'
loop_
_atom_site_label
_atom_site_fract_x
_atom_site_fract_y
_atom_site_fract_z
Sc1 0.0000 0.0000 0.0000
Sc2 0.0000 0.5000 0.2344
Mn1 0.0000 0.0000 0.4583
P1 0.0000 0.5000 0.7846
```

Output
formation energy from the elements: -0.506 eV/atom
density of states at the Fermi level: 5.90 states/eV/cell

=====

No. 6
First-principles (PBE-GGA) data for an optimized crystal structure of InBiHPb2, as listed in Alexandria.

```
data_InBiHPb2
_chemical_formula_sum 'In1 Bi1 H1 Pb2'
_cell_length_a 5.0768
_cell_length_b 5.0768
_cell_length_c 4.9385
_cell_angle_alpha 90.00
_cell_angle_beta 90.00
_cell_angle_gamma 90.00
_space_group_name_H-M_alt 'P 4/m m m'
_space_group_IT_number 123
_space_group_name_Hall '-P 4 2'
loop_
_atom_site_label
_atom_site_fract_x
_atom_site_fract_y
_atom_site_fract_z
In1 0.0000 0.0000 0.0000
Bi1 0.5000 0.5000 0.0000
H1 0.5000 0.5000 0.5000
Pb1 0.0000 0.5000 0.5000
```

Output
distance to the lowest polymorph of the same formula: 0.016 eV/atom
density of states at the Fermi level: 2.48 states/eV/cell

=====

No. 7
First-principles (PBE-GGA) data for an optimized crystal structure of BeAgBr2, as listed in Alexandria.

```
data_BeAgBr2
_chemical_formula_sum 'Be1 Ag1 Br2'
_cell_length_a 5.2946
_cell_length_b 3.3617
_cell_length_c 6.5177
_cell_angle_alpha 90.00
_cell_angle_beta 105.06
_cell_angle_gamma 90.00
_space_group_name_H-M_alt 'P 1 m 1'
_space_group_IT_number 6
loop_
_space_group_symop_operation_xyz
'x,y,z'
'x,-y,z'
loop_
_atom_site_label
_atom_site_fract_x
_atom_site_fract_y
_atom_site_fract_z
Be1 0.0000 0.0000 0.0000
Ag1 0.6886 0.5000 0.1276
Br1 0.0096 0.5000 0.7766
Br2 0.3306 0.0000 0.2722
```

Output
uncorrected formation energy: -294.0 meV per atom
distance to the lowest polymorph of the same formula: 0.000 eV/atom
density of states at the Fermi level: 1.12 states/eV/cell

=====

No. 8
First-principles (PBE-GGA) data for an optimized crystal structure of BeReSi3, as listed in Alexandria.

```
data_BeReSi3
_chemical_formula_sum 'Be1 Re1 Si3'
_cell_length_a 4.1280
_cell_length_b 4.1280
_cell_length_c 4.1280
_cell_angle_alpha 90.00
_cell_angle_beta 90.00
_cell_angle_gamma 90.00
_space_group_name_H-M_alt 'P m -3 m'
_space_group_IT_number 221
_space_group_name_Hall '-P 4 2 3'
loop_
_atom_site_label
_atom_site_fract_x
_atom_site_fract_y
_atom_site_fract_z
Be1 0.0000 0.0000 0.0000
Re1 0.5000 0.5000 0.5000
Si1 0.0000 0.0000 0.5000
```

Output
uncorrected formation energy: 1144.8 meV per atom
distance to the lowest polymorph of the same formula: 0.246 eV/atom
density of states at the Fermi level: 3.72 states/eV/cell